No. 1
PBE RbSb3W, optimized geometry; raw formation energy = 0.31 eV per atom; M_tot = 0.0 μB per formula unit
1.0
5.3980 0.0000 0.0000
0.0000 5.3980 0.0000
0.0000 0.0000 5.3980
Rb Sb W
1 3 1
direct
0.0000 0.0000 0.0000 Rb
0.0000 0.5000 0.5000 Sb
0.5000 0.0000 0.5000 Sb
0.5000 0.5000 0.0000 Sb
0.5000 0.5000 0.5000 W

=====

No. 2
PBE RbSbW3, optimized geometry; raw formation energy = 3.85 eV per atom; M_tot = 0.0 μB per formula unit
1.0
4.7958 0.0000 0.0000
0.0000 4.7958 0.0000
0.0000 0.0000 4.7958
Rb Sb W
1 1 3
direct
0.0000 0.0000 0.0000 Rb
0.5000 0.5000 0.5000 Sb
0.0000 0.0000 0.5000 W
0.0000 0.5000 0.0000 W
0.5000 0.0000 0.0000 W

=====

Which of these has the highest raw formation energy?
RbSbW3